(1)
## Tb3Pm2Sm3 (PBE)

Data for crystalline Tb3Pm2Sm3 at its relaxed geometry.

## Properties
- Electronic total energy: -4.668 eV per atom
- Energy relative to the elements: 25 meV/atom

Unit cell a=6.3350 b=8.5915 c=14.6442 alpha=90.00 beta=90.00 gamma=137.58
Last column: nearest neighbours and their distance in Å.
Fractional positions:
1 Tb 0.5846 0.2501 0.5001  3 Tb 3.57-3.66, 4 Pm 3.58-3.67, 5 Sm 3.59-3.66
2 Tb 0.4154 0.7499 0.0001  3 Tb 3.57-3.66, 4 Pm 3.58-3.67, 5 Sm 3.59-3.66
3 Tb 0.5846 0.2501 0.9999  3 Tb 3.57-3.66, 4 Pm 3.58-3.67, 5 Sm 3.59-3.66
4 Tb 0.4154 0.7499 0.4999  3 Tb 3.57-3.66, 4 Pm 3.58-3.67, 5 Sm 3.59-3.66
5 Tb 0.4143 0.7506 0.2500  6 Sm 3.58-3.67, 4 Pm 3.59, 2 Tb 3.66
6 Tb 0.5857 0.2494 0.7500  6 Sm 3.58-3.67, 4 Pm 3.59, 2 Tb 3.66
7 Pm 0.9183 0.7500 0.8752  6 Tb 3.58-3.67, 5 Sm 3.58-3.66, 1 Pm 3.67
8 Pm 0.0817 0.2500 0.3752  6 Tb 3.58-3.67, 5 Sm 3.58-3.66, 1 Pm 3.67
9 Pm 0.9183 0.7500 0.6248  6 Tb 3.58-3.67, 5 Sm 3.58-3.66, 1 Pm 3.67
10 Pm 0.0817 0.2500 0.1248  6 Tb 3.58-3.67, 5 Sm 3.58-3.66, 1 Pm 3.67
11 Sm 0.9153 0.7506 0.3755  3 Pm 3.58-3.65, 6 Tb 3.59-3.67, 3 Sm 3.59-3.67
12 Sm 0.0847 0.2494 0.8755  3 Pm 3.58-3.65, 6 Tb 3.59-3.67, 3 Sm 3.59-3.67
13 Sm 0.9153 0.7506 0.1245  3 Pm 3.58-3.65, 6 Tb 3.59-3.67, 3 Sm 3.59-3.67
14 Sm 0.0847 0.2494 0.6245  3 Pm 3.58-3.65, 6 Tb 3.59-3.67, 3 Sm 3.59-3.67
15 Sm 0.5830 0.2508 0.2500  4 Tb 3.58-3.66, 4 Sm 3.59, 4 Pm 3.66
16 Sm 0.4170 0.7492 0.7500  4 Tb 3.58-3.66, 4 Sm 3.59, 4 Pm 3.66


(2)
## TaSb2TeC (PBE)

Data for crystalline TaSb2TeC at its relaxed geometry.

## Properties
- Electronic total energy: -5.298 eV per atom
- ΔE_f (raw): 1.19 eV/atom

Unit cell a=4.6789 b=4.6789 c=4.6128 alpha=90.00 beta=90.00 gamma=90.00
Last column: nearest neighbours and their distance in Å.
Fractional positions:
1 Sb 0.0000 0.5000 0.0000  2 C 2.34
2 Sb 0.5000 0.0000 0.0000  2 C 2.34
3 C 0.0000 0.0000 0.0000  2 Te 2.31, 4 Sb 2.34
4 Te 0.0000 0.0000 0.5000  2 C 2.31
5 Ta 0.5000 0.5000 0.5000  8 Sb 3.29, 4 Te 3.31


(3)
## Sr2Li4Sn3 (PBE)

Data for crystalline Sr2Li4Sn3 at its relaxed geometry.

## Properties
- Electronic total energy: -2.989 eV per atom
- Energy relative to the elements: -430 meV/atom

Unit cell a=6.2881 b=8.2183 c=9.2632 alpha=90.00 beta=109.84 gamma=90.00
Last column: nearest neighbours and their distance in Å.
Fractional positions:
1 Sr 0.1062 0.5999 0.2125  7 Li 3.33-3.68, 2 Sn 3.40
2 Sr 0.8938 0.4001 0.7875  7 Li 3.33-3.68, 2 Sn 3.40
3 Sr 0.3938 0.0999 0.7875  7 Li 3.33-3.68, 2 Sn 3.40
4 Sr 0.6062 0.9001 0.2125  7 Li 3.33-3.68, 2 Sn 3.40
5 Li 0.6787 0.7500 0.8573  3 Sn 2.86-2.87, 4 Li 3.12-3.14
6 Li 0.8213 0.2500 0.1427  3 Sn 2.86-2.87, 4 Li 3.12-3.14
7 Li 0.3213 0.2500 0.1427  3 Sn 2.86-2.87, 4 Li 3.12-3.14
8 Li 0.1787 0.7500 0.8573  3 Sn 2.86-2.87, 4 Li 3.12-3.14
9 Li 0.1700 0.9967 0.3401  5 Sn 2.85-3.05, 2 Li 3.12
10 Li 0.8300 0.0033 0.6599  5 Sn 2.85-3.05, 2 Li 3.12
11 Li 0.3300 0.4967 0.6599  5 Sn 2.85-3.05, 2 Li 3.12
12 Li 0.6700 0.5033 0.3401  5 Sn 2.85-3.05, 2 Li 3.12
13 Sn 0.0000 0.0000 0.0000  6 Li 2.87-2.96
14 Sn 0.5000 0.5000 0.0000  6 Li 2.87-2.96
15 Sn 0.5144 0.7500 0.5288  5 Li 2.85-3.05, 2 Sn 3.14
16 Sn 0.9856 0.2500 0.4712  5 Li 2.85-3.05, 2 Sn 3.14
17 Sn 0.4856 0.2500 0.4712  5 Li 2.85-3.05, 2 Sn 3.14
18 Sn 0.0144 0.7500 0.5288  5 Li 2.85-3.05, 2 Sn 3.14


(4)
## Sr3Ce2HfN6 (PBE)

Data for crystalline Sr3Ce2HfN6 at its relaxed geometry.

## Properties
- Electronic total energy: -7.649 eV per atom
- ΔE_f (raw): -1.25 eV/atom

Unit cell a=6.1555 b=6.1555 c=6.3102 alpha=99.30 beta=99.30 gamma=120.06
Last column: nearest neighbours and their distance in Å.
Fractional positions:
1 Sr 0.1635 0.8365 0.5000  6 N 2.65-2.81
2 Sr 0.8365 0.1635 0.5000  6 N 2.65-2.81
3 Sr 0.5000 0.5000 0.5000  6 N 2.67-2.79
4 Ce 0.3331 0.6669 0.0000  6 N 2.43
5 Ce 0.6669 0.3331 0.0000  6 N 2.43
6 Hf 0.0000 0.0000 0.0000  6 N 2.29-2.30
7 N 0.9320 0.6157 0.7968  1 Hf 2.30, 2 Ce 2.43
8 N 0.7509 0.7509 0.2028  1 Hf 2.29, 2 Ce 2.43
9 N 0.0680 0.3843 0.2032  1 Hf 2.30, 2 Ce 2.43
10 N 0.6157 0.9320 0.7968  1 Hf 2.30, 2 Ce 2.43
11 N 0.2491 0.2491 0.7972  1 Hf 2.29, 2 Ce 2.43
12 N 0.3843 0.0680 0.2032  1 Hf 2.30, 2 Ce 2.43


(5)
## Sm2Co17N2 (PBE)

Data for crystalline Sm2Co17N2 at its relaxed geometry.

## Properties
- Electronic total energy: -7.115 eV per atom
- ΔE_f (raw): -0.12 eV/atom

Unit cell a=6.3662 b=6.3662 c=6.4371 alpha=83.56 beta=83.56 gamma=83.57
Last column: nearest neighbours and their distance in Å.
Fractional positions:
1 Sm 0.6547 0.6547 0.6561  2 N 2.46
2 Sm 0.3453 0.3453 0.3439  2 N 2.46
3 Co 0.9041 0.9041 0.9066  6 Co 2.33-2.61
4 Co 0.0959 0.0959 0.0934  6 Co 2.33-2.61
5 Co 0.3482 0.3482 0.8688  9 Co 2.42-2.61
6 Co 0.3443 0.8573 0.3389  1 N 1.88
7 Co 0.8573 0.3443 0.3389  1 N 1.88
8 Co 0.6518 0.6518 0.1312  9 Co 2.42-2.61
9 Co 0.6557 0.1427 0.6611  1 N 1.88
10 Co 0.1427 0.6557 0.6611  1 N 1.88
11 Co 0.2839 0.7161 0.0000  8 Co 2.39-2.55
12 Co 0.7200 0.0017 0.2776  1 N 1.89
13 Co 0.9983 0.2800 0.7224  1 N 1.89
14 Co 0.2800 0.9983 0.7224  1 N 1.89
15 Co 0.0017 0.7200 0.2776  1 N 1.89
16 Co 0.7161 0.2839 0.0000  8 Co 2.39-2.55
17 Co 0.0000 0.0000 0.5000  10 Co 2.41-2.64
18 Co 0.0000 0.5000 0.0000  10 Co 2.39-2.60
19 Co 0.5000 0.0000 0.0000  10 Co 2.39-2.60
20 N 0.5000 0.0000 0.5000  4 Co 1.88-1.89
21 N 0.0000 0.5000 0.5000  4 Co 1.88-1.89


(6)
## NbCS2Cl (PBE)

Data for crystalline NbCS2Cl at its relaxed geometry.

## Properties
- Electronic total energy: -4.903 eV per atom
- ΔE_f (raw): 0.98 eV/atom

Unit cell a=4.7870 b=4.7870 c=4.9077 alpha=90.00 beta=90.00 gamma=90.00
Last column: nearest neighbours and their distance in Å.
Fractional positions:
1 C 0.5000 0.5000 0.5000  4 Cl 3.38, 8 S 3.43
2 Nb 0.0000 0.0000 0.0000  4 S 2.39, 2 Cl 2.45
3 S 0.0000 0.5000 0.0000  2 Nb 2.39
4 S 0.5000 0.0000 0.0000  2 Nb 2.39
5 Cl 0.0000 0.0000 0.5000  2 Nb 2.45


(7)
## KTi3Rh (PBE)

Data for crystalline KTi3Rh at its relaxed geometry.

## Properties
- Electronic total energy: -5.867 eV per atom
- Energy relative to the elements: 560 meV/atom

Unit cell a=4.8996 b=4.8996 c=4.8996 alpha=90.00 beta=90.00 gamma=90.00
Last column: nearest neighbours and their distance in Å.
Fractional positions:
1 K 0.5000 0.5000 0.5000  12 Ti 3.46
2 Rh 0.0000 0.0000 0.0000  6 Ti 2.45
3 Ti 0.0000 0.5000 0.0000  2 Rh 2.45
4 Ti 0.0000 0.0000 0.5000  2 Rh 2.45
5 Ti 0.5000 0.0000 0.0000  2 Rh 2.45


(8)
## Si2AgF (PBE)

Data for crystalline Si2AgF at its relaxed geometry.

## Properties
- Electronic total energy: -3.937 eV per atom
- ΔE_f (raw): -0.04 eV/atom

Unit cell a=4.3559 b=4.3559 c=4.3559 alpha=60.00 beta=60.00 gamma=60.00
Last column: nearest neighbours and their distance in Å.
Fractional positions:
1 Si 0.2500 0.2500 0.2500  4 F 2.67, 4 Ag 2.67
2 Si 0.7500 0.7500 0.7500  4 F 2.67, 4 Ag 2.67
3 Ag 0.5000 0.5000 0.5000  8 Si 2.67
4 F 0.0000 0.0000 0.0000  8 Si 2.67


(9)
## LaHfP2 (PBE)

Data for crystalline LaHfP2 at its relaxed geometry.

## Properties
- Electronic total energy: -7.752 eV per atom
- Energy relative to the elements: -1326 meV/atom

Unit cell a=3.8531 b=3.8531 c=7.2493 alpha=74.59 beta=74.59 gamma=60.00
Last column: nearest neighbours and their distance in Å.
Fractional positions:
1 La 0.4962 0.4962 0.5113  6 P 2.92-3.04
2 Hf 0.6695 0.6695 0.9916  6 P 2.64-2.69
3 P 0.0716 0.0716 0.7852  3 Hf 2.64, 3 La 2.92
4 P 0.2627 0.2627 0.2119  3 Hf 2.69


(10)
## VIrN2 (PBE)

Data for crystalline VIrN2 at its relaxed geometry.

## Properties
- Electronic total energy: -7.957 eV per atom
- ΔE_f (raw): 0.70 eV/atom

Unit cell a=3.7672 b=3.7672 c=3.7672 alpha=60.00 beta=60.00 gamma=60.00
Last column: nearest neighbours and their distance in Å.
Fractional positions:
1 V 0.0000 0.0000 0.0000  8 N 2.31
2 Ir 0.5000 0.5000 0.5000  8 N 2.31
3 N 0.2500 0.2500 0.2500  4 Ir 2.31, 4 V 2.31
4 N 0.7500 0.7500 0.7500  4 V 2.31, 4 Ir 2.31


(11)
## MnTlCdBr6 (PBE)

Data for crystalline MnTlCdBr6 at its relaxed geometry.

## Properties
- Electronic total energy: -3.246 eV per atom
- ΔE_f (raw): -0.75 eV/atom

Unit cell a=7.0182 b=7.0182 c=14.2190 alpha=90.00 beta=90.00 gamma=120.00
Last column: nearest neighbours and their distance in Å.
Fractional positions:
1 Mn 0.6667 0.3333 0.2500  6 Br 2.58
2 Mn 0.3333 0.6667 0.7500  6 Br 2.58
3 Tl 0.0000 0.0000 0.0000  6 Br 3.31
4 Tl 0.0000 0.0000 0.5000  6 Br 3.31
5 Cd 0.3333 0.6667 0.2500  6 Br 2.81
6 Cd 0.6667 0.3333 0.7500  6 Br 2.81
7 Br 0.6420 0.6169 0.1432  1 Mn 2.58, 1 Cd 2.81
8 Br 0.9749 0.3580 0.1432  1 Mn 2.58, 1 Cd 2.81
9 Br 0.3580 0.9749 0.6432  1 Mn 2.58, 1 Cd 2.81
10 Br 0.0251 0.6420 0.8568  1 Mn 2.58, 1 Cd 2.81
11 Br 0.3831 0.3580 0.3568  1 Mn 2.58, 1 Cd 2.81
12 Br 0.9749 0.6169 0.3568  1 Mn 2.58, 1 Cd 2.81
13 Br 0.6169 0.9749 0.8568  1 Mn 2.58, 1 Cd 2.81
14 Br 0.6420 0.0251 0.3568  1 Mn 2.58, 1 Cd 2.81
15 Br 0.0251 0.3831 0.6432  1 Mn 2.58, 1 Cd 2.81
16 Br 0.3831 0.0251 0.1432  1 Mn 2.58, 1 Cd 2.81
17 Br 0.6169 0.6420 0.6432  1 Mn 2.58, 1 Cd 2.81
18 Br 0.3580 0.3831 0.8568  1 Mn 2.58, 1 Cd 2.81


Which formula does entry 2 have?
TaSb2TeC